LiPaAl | GGA-PBE | optimized geometry

a b c (Å): 3.034 3.034 15.649
angles (deg): 90.00 90.00 120.00
Fractional coordinates of all 6 atoms:
Li 0.611 0.222 0.354
Li 0.611 0.222 0.646
Al 0.278 0.555 0.500
Al 0.611 0.223 0.000
Pa 0.278 0.556 0.834
Pa 0.278 0.556 0.166

Density ... 7.053 g cm⁻³
DFT formation energy ... 0.04 eV/atom
Crystal system ... hexagonal
Symmetry ... P-6m2
DOS at the Fermi energy ... 1.312 states/eV/atom
Distance to the lowest polymorph of the same formula ... 4 meV/atom


LiPaAlPt | GGA-PBE | optimized geometry

a b c (Å): 4.710 4.710 4.710
angles (deg): 60.00 60.00 60.00
Each line ends with the local moment (μB).
Fractional coordinates of all 4 atoms:
Pa 0.000 0.000 0.000  0.61
Al 0.500 0.500 0.500  0.01
Pt 0.750 0.750 0.750  0.01
Li 0.250 0.250 0.250  0.03

Density ... 10.343 g cm⁻³
DFT formation energy ... -0.53 eV/atom
Crystal system ... cubic
Symmetry ... F-43m
DOS at the Fermi energy ... 0.942 states/eV/atom


LiPaAl2Pt4 | GGA-PBE | optimized geometry

a b c (Å): 4.236 4.236 8.826
angles (deg): 76.12 76.12 60.00
Fractional coordinates of all 8 atoms:
Pt 0.602 0.602 0.194
Pt 0.132 0.132 0.604
Pt 0.398 0.398 0.806
Pt 0.868 0.868 0.396
Al 0.765 0.765 0.706
Al 0.235 0.235 0.294
Li 0.500 0.500 0.500
Pa 0.000 0.000 0.000

Density ... 13.514 g cm⁻³
DFT formation energy ... -1.02 eV/atom
Crystal system ... trigonal
Symmetry ... R-3m
DOS at the Fermi energy ... 0.312 states/eV/atom


LiPaAlRh | GGA-PBE | optimized geometry

a b c (Å): 4.644 4.644 4.644
angles (deg): 60.00 60.00 60.00
Fractional coordinates of all 4 atoms:
Pa 0.250 0.250 0.250
Li 0.500 0.500 0.500
Rh 0.000 0.000 0.000
Al 0.750 0.750 0.750

Density ... 8.628 g cm⁻³
DFT formation energy ... -0.43 eV/atom
Crystal system ... cubic
Symmetry ... F-43m
DOS at the Fermi energy ... 0.478 states/eV/atom